VASP calculation (GGA+U) on a geometry-optimized Fe2AgF structure.

## Properties
SG: Fm-3m (225)
Polymorph energy (0 for the lowest one), meV per atom: 344
Size of the total moment, μB per formula unit: 6.461
Fermi-level density of states, states/eV per atom: 0.557

a = 4.420 Å, b = 4.420 Å, c = 4.420 Å
α = 60.00°, β = 60.00°, γ = 60.00°
Each line ends with the local moment (μB).
Positions (direct):
Fe: 0.250 0.250 0.250  3.25
Fe: 0.750 0.750 0.750  3.25
Ag: 0.500 0.500 0.500  -0.02
F: 0.000 0.000 0.000  -0.01